No. 1
Density functional theory data (PBE) for P2W after structural relaxation.

Calculated values
DOS(E_F) in states/eV/cell: 1.26
E_form in eV per atom: 0.01

Cell lengths 4.553, 4.553, 4.553 Å; angles 138.26, 138.26, 60.50 degrees
Fractional coordinates of all 3 atoms:
P (0.169, 0.169, 0.000)
P (0.831, 0.831, 0.000)
W (0.500, 0.500, 0.000)



No. 2
Density functional theory data (PBE) for P4W after structural relaxation.

Calculated values
DOS(E_F) in states/eV/cell: 1.72
E_form in eV per atom: 0.38

Cell lengths 4.641, 4.641, 4.641 Å; angles 102.31, 102.31, 125.00 degrees
Fractional coordinates of all 5 atoms:
P (0.117, 0.738, 0.854)
P (0.262, 0.117, 0.379)
P (0.738, 0.883, 0.621)
P (0.883, 0.262, 0.146)
W (0.500, 0.500, 0.000)



No. 3
Density functional theory data (PBE) for PW4 after structural relaxation.

Calculated values
DOS(E_F) in states/eV/cell: 4.22
E_form in eV per atom: 1.16

Cell lengths 6.660, 6.660, 6.660 Å; angles 145.08, 145.08, 50.21 degrees
Fractional coordinates of all 5 atoms:
P (0.000, 0.000, 0.000)
W (0.250, 0.750, 0.500)
W (0.386, 0.386, 0.000)
W (0.614, 0.614, 0.000)
W (0.750, 0.250, 0.500)



No. 4
Density functional theory data (PBE) for PW4 after structural relaxation.

Calculated values
DOS(E_F) in states/eV/cell: 6.51
E_form in eV per atom: 0.99

Cell lengths 4.412, 4.412, 4.412 Å; angles 90.00, 90.00, 90.00 degrees
Fractional coordinates of all 5 atoms:
P (0.000, 0.000, 0.000)
W (0.000, 0.000, 0.500)
W (0.000, 0.500, 0.000)
W (0.500, 0.000, 0.000)
W (0.500, 0.500, 0.500)